(1)
LiFe2Sb: optimized geometry, PBE.

Cell: 3.2111 3.2110 5.7474 Å, 90.00 90.00 90.00°
With the nearest neighbours (Å) after each atom.
Sites, in units of the cell vectors:
Fe1 0.0000 0.0000 0.0305  4 Fe 2.55, 1 Li 2.56, 4 Sb 2.75
Fe2 0.5000 0.5000 0.2321  4 Fe 2.55, 4 Li 2.67, 1 Sb 2.71
Li1 0.0000 0.0000 0.4763  5 Fe 2.56-2.67, 4 Sb 2.80
Sb1 0.5000 0.5000 0.7610  5 Fe 2.71-2.75, 4 Li 2.80

Energy relative to the elements, uncorrected = 0.104 eV per atom
Symmetry = P4mm

***

(2)
NaNiW3: optimized geometry, PBE.

Cell: 4.5715 4.5715 4.5715 Å, 90.00 90.00 90.00°
With the nearest neighbours (Å) after each atom.
Sites, in units of the cell vectors:
Ni1 0.0000 0.0000 0.0000  6 W 2.29
W1 0.0000 0.5000 0.0000  2 Ni 2.29
W2 0.0000 0.0000 0.5000  2 Ni 2.29
W3 0.5000 0.0000 0.0000  2 Ni 2.29
Na1 0.5000 0.5000 0.5000  12 W 3.23

E_form = 1.80 eV/atom
Symmetry = Pm-3m
ΔE to the lowest computed polymorph = 0 meV/atom